! SrMg8 (PBEsol, optimized geometry); values from VASP
! Energy of formation in eV/f.u.: 0.1
! Space group: I4/mmm, No. 139
&SYSTEM
  ibrav = 0, nat = 9, ntyp = 2
/
ATOMIC_SPECIES
Mg 24.30 Mg.upf
Sr 87.62 Sr.upf
ATOMIC_POSITIONS angstrom
Mg 2.386 2.439 0.000
Mg 4.772 2.366 2.366
Mg 4.772 0.000 4.450
Mg 4.772 4.523 4.523
Mg 2.386 0.000 2.439
Mg 2.386 2.366 4.523
Mg 2.386 4.523 2.366
Mg 4.772 4.450 0.000
Sr 0.000 0.000 0.000
CELL_PARAMETERS angstrom
4.772 0.000 0.000
2.386 6.889 0.000
2.386 0.000 6.889

! Mg2MoPb (PBEsol, optimized geometry); values from VASP
! Energy of formation in eV/f.u.: 1.7
! Space group: R-3m, No. 166
&SYSTEM
  ibrav = 0, nat = 4, ntyp = 3
/
ATOMIC_SPECIES
Mo 95.94 Mo.upf
Mg 24.30 Mg.upf
Pb 207.20 Pb.upf
ATOMIC_POSITIONS angstrom
Mo 3.108 1.795 4.934
Mg 4.662 2.692 7.159
Mg 1.554 0.897 2.709
Pb 0.000 0.000 0.000
CELL_PARAMETERS angstrom
3.108 0.000 0.000
1.554 2.692 0.000
1.554 0.897 9.869

| no. | E_tot (eV/atom) |
| --- | --- |
| 1 | -1.7246 |
| 2 | -4.3868 |